DFT (GGA+U) results for a geometry-optimized NaVTcO6 structure.

## Properties
**Density of states at the Fermi level**: 1.46 states/eV per cell
**Magnetic moment**: 1.02 μB/cell
**E**: -63.15 eV for the cell shown

Cell lengths 5.0450, 5.2764, 5.2320 Å; angles 92.26, 90.46, 58.80 degrees
With the nearest neighbours (Å) after each atom.
Atoms (fractional coordinates):
Tc 0.3410 0.3242 0.5501  3 O 1.76-1.86
O 0.3662 0.0040 0.7039  1 Tc 1.84, 1 V 2.06
O 0.0095 0.3862 0.2878  1 V 1.79
O 0.9772 0.6198 0.7106  1 Tc 1.86, 1 V 2.02
O 0.6325 0.3634 0.6997  1 Tc 1.76
O 0.3736 0.6331 0.3089  1 V 1.74
O 0.6235 0.9943 0.2887  1 V 1.77
Na 0.0123 0.9930 0.0110  6 O 2.44-2.55
V 0.6639 0.6820 0.4391  3 O 1.74-1.79